(1)
DFT (PBE) results for a relaxed K2AlOs2 crystal.

calculated formation energy	1.65	eV/atom

abc: 3.765 3.765 8.294
angles: 76.88 76.88 90.00
Fractional coordinates of all 5 atoms:
K1 0.750 0.250 0.500
K2 0.250 0.750 0.500
Os1 0.428 0.428 0.144
Os2 0.572 0.572 0.856
Al1 0.000 0.000 0.000

---

(2)
DFT (PBE) results for a relaxed KAl2Os crystal.

calculated formation energy	0.12	eV/atom

abc: 8.279 8.279 8.279
angles: 159.61 150.96 35.75
Fractional coordinates of all 4 atoms:
K1 0.431 0.431 0.000
Os1 0.229 0.729 0.500
Al1 0.100 0.100 0.000
Al2 0.739 0.239 0.500

---

Looking at spin magnetization for the records above, in order, we have 0.00 0.00 μB/cell.
Looking at VASP energy for the records above, in order, we have -20.2 -19.3 eV/cell.
Looking at ΔE to the lowest computed polymorph for the records above, in order, we have 4.36 0.29 eV per formula unit.